An optimized crystal structure of Er2Mn16Fe. Source: the Alexandria database, functional PBE.

Calculated volume = 248 Å³/f.u.
Space-group type = R3m
Electronic total energy = -8.654 eV/atom
Energy relative to the elements = -7 meV/atom

POSCAR file:
```
Er2Mn16Fe
1.0
4.3050 2.4855 3.8601
-4.3050 2.4855 3.8601
0.0000 -4.9710 3.8601
Er Mn Fe
2 16 1
Direct
0.0000 0.0000 0.0000
0.2906 0.2906 0.2906
0.0023 0.0023 0.5212
0.0023 0.5212 0.0023
0.1442 0.6476 0.6476
0.2899 0.2899 0.7697
0.2899 0.7697 0.2899
0.3708 0.6470 0.9225
0.3708 0.9225 0.6470
0.5212 0.0023 0.0023
0.5450 0.5450 0.5450
0.6470 0.3708 0.9225
0.6470 0.9225 0.3708
0.6476 0.1442 0.6476
0.6476 0.6476 0.1442
0.7697 0.2899 0.2899
0.9225 0.3708 0.6470
0.9225 0.6470 0.3708
0.7466 0.7466 0.7466
```